#one
# PBE Mg2TiAu2, relaxed
# * space group: P4/mbm (127)
# * M_tot: 3.848 μB per cell
data_Mg2TiAu2
_chemical_formula_sum 'Mg4 Ti2 Au4'
_cell_length_a 7.805
_cell_length_b 7.805
_cell_length_c 3.016
_cell_angle_alpha 90.00
_cell_angle_beta 90.00
_cell_angle_gamma 90.00
_symmetry_space_group_name_H-M 'P 1'
_symmetry_Int_Tables_number 1
loop_
_symmetry_equiv_pos_as_xyz
'x,y,z'
loop_
_atom_site_label
_atom_site_fract_x
_atom_site_fract_y
_atom_site_fract_z
_atom_site_occupancy
Mg1 0.132 0.368 0.000 1
Mg2 0.368 0.868 0.000 1
Mg3 0.632 0.132 0.000 1
Mg4 0.868 0.632 0.000 1
Ti1 0.000 0.000 0.000 1
Ti2 0.500 0.500 0.000 1
Au1 0.168 0.668 0.500 1
Au2 0.332 0.168 0.500 1
Au3 0.668 0.832 0.500 1
Au4 0.832 0.332 0.500 1


#two
# PBE Mg2TiAu2, relaxed
# * space group: P4/mbm (127)
# * M_tot: 0.015 μB per cell
data_Mg2TiAu2
_chemical_formula_sum 'Mg4 Ti2 Au4'
_cell_length_a 7.175
_cell_length_b 7.175
_cell_length_c 3.725
_cell_angle_alpha 90.00
_cell_angle_beta 90.00
_cell_angle_gamma 90.00
_symmetry_space_group_name_H-M 'P 1'
_symmetry_Int_Tables_number 1
loop_
_symmetry_equiv_pos_as_xyz
'x,y,z'
loop_
_atom_site_label
_atom_site_fract_x
_atom_site_fract_y
_atom_site_fract_z
_atom_site_occupancy
Mg1 0.161 0.339 0.000 1
Mg2 0.339 0.839 0.000 1
Mg3 0.661 0.161 0.000 1
Mg4 0.839 0.661 0.000 1
Ti1 0.000 0.000 0.500 1
Ti2 0.500 0.500 0.500 1
Au1 0.142 0.642 0.500 1
Au2 0.358 0.142 0.500 1
Au3 0.642 0.858 0.500 1
Au4 0.858 0.358 0.500 1


Most stable: #two


#one
# PBE Mg8TlAu2, relaxed
# * space group: C2/m (12)
# * M_tot: 0.000 μB per cell
data_Mg8TlAu2
_chemical_formula_sum 'Mg8 Tl1 Au2'
_cell_length_a 7.470
_cell_length_b 7.470
_cell_length_c 5.095
_cell_angle_alpha 99.19
_cell_angle_beta 99.19
_cell_angle_gamma 114.41
_symmetry_space_group_name_H-M 'P 1'
_symmetry_Int_Tables_number 1
loop_
_symmetry_equiv_pos_as_xyz
'x,y,z'
loop_
_atom_site_label
_atom_site_fract_x
_atom_site_fract_y
_atom_site_fract_z
_atom_site_occupancy
Mg1 0.075 0.325 0.591 1
Mg2 0.241 0.759 0.000 1
Mg3 0.325 0.075 0.591 1
Mg4 0.393 0.393 0.200 1
Mg5 0.607 0.607 0.800 1
Mg6 0.675 0.925 0.409 1
Mg7 0.759 0.241 0.000 1
Mg8 0.925 0.675 0.409 1
Tl1 0.000 0.000 0.000 1
Au1 0.310 0.690 0.500 1
Au2 0.690 0.310 0.500 1


#two
# PBE Mg8TlAu2, relaxed
# * space group: Immm (71)
# * M_tot: 0.000 μB per cell
data_Mg8TlAu2
_chemical_formula_sum 'Mg8 Tl1 Au2'
_cell_length_a 8.149
_cell_length_b 8.149
_cell_length_c 8.149
_cell_angle_alpha 147.40
_cell_angle_beta 126.79
_cell_angle_gamma 63.81
_symmetry_space_group_name_H-M 'P 1'
_symmetry_Int_Tables_number 1
loop_
_symmetry_equiv_pos_as_xyz
'x,y,z'
loop_
_atom_site_label
_atom_site_fract_x
_atom_site_fract_y
_atom_site_fract_z
_atom_site_occupancy
Mg1 0.116 0.336 0.780 1
Mg2 0.158 0.158 0.000 1
Mg3 0.302 0.000 0.302 1
Mg4 0.444 0.664 0.780 1
Mg5 0.556 0.336 0.220 1
Mg6 0.698 0.000 0.698 1
Mg7 0.842 0.842 0.000 1
Mg8 0.884 0.664 0.220 1
Tl1 0.000 0.500 0.500 1
Au1 0.316 0.816 0.500 1
Au2 0.684 0.184 0.500 1


Most stable: #two


#one
# PBE Mg2Tl2Au, relaxed
# * space group: I4/mmm (139)
# * M_tot: 0.000 μB per cell
data_Mg2Tl2Au
_chemical_formula_sum 'Mg2 Tl2 Au1'
_cell_length_a 8.169
_cell_length_b 8.169
_cell_length_c 8.169
_cell_angle_alpha 150.59
_cell_angle_beta 150.59
_cell_angle_gamma 42.08
_symmetry_space_group_name_H-M 'P 1'
_symmetry_Int_Tables_number 1
loop_
_symmetry_equiv_pos_as_xyz
'x,y,z'
loop_
_atom_site_label
_atom_site_fract_x
_atom_site_fract_y
_atom_site_fract_z
_atom_site_occupancy
Mg1 0.090 0.090 0.000 1
Mg2 0.910 0.910 0.000 1
Tl1 0.250 0.750 0.500 1
Tl2 0.750 0.250 0.500 1
Au1 0.500 0.500 0.000 1


#two
# PBE Mg2Tl2Au, relaxed
# * space group: P4/mbm (127)
# * M_tot: 0.000 μB per cell
data_Mg2Tl2Au
_chemical_formula_sum 'Mg4 Tl4 Au2'
_cell_length_a 7.195
_cell_length_b 7.195
_cell_length_c 4.763
_cell_angle_alpha 90.00
_cell_angle_beta 90.00
_cell_angle_gamma 90.00
_symmetry_space_group_name_H-M 'P 1'
_symmetry_Int_Tables_number 1
loop_
_symmetry_equiv_pos_as_xyz
'x,y,z'
loop_
_atom_site_label
_atom_site_fract_x
_atom_site_fract_y
_atom_site_fract_z
_atom_site_occupancy
Mg1 0.153 0.347 0.000 1
Mg2 0.347 0.847 0.000 1
Mg3 0.653 0.153 0.000 1
Mg4 0.847 0.653 0.000 1
Tl1 0.163 0.663 0.500 1
Tl2 0.337 0.163 0.500 1
Tl3 0.663 0.837 0.500 1
Tl4 0.837 0.337 0.500 1
Au1 0.000 0.000 0.000 1
Au2 0.500 0.500 0.000 1


#three
# PBE Mg2Tl2Au, relaxed
# * space group: P4/mbm (127)
# * M_tot: 0.000 μB per cell
data_Mg2Tl2Au
_chemical_formula_sum 'Mg4 Tl4 Au2'
_cell_length_a 8.005
_cell_length_b 8.005
_cell_length_c 3.753
_cell_angle_alpha 90.00
_cell_angle_beta 90.00
_cell_angle_gamma 90.00
_symmetry_space_group_name_H-M 'P 1'
_symmetry_Int_Tables_number 1
loop_
_symmetry_equiv_pos_as_xyz
'x,y,z'
loop_
_atom_site_label
_atom_site_fract_x
_atom_site_fract_y
_atom_site_fract_z
_atom_site_occupancy
Mg1 0.151 0.349 0.000 1
Mg2 0.349 0.849 0.000 1
Mg3 0.651 0.151 0.000 1
Mg4 0.849 0.651 0.000 1
Tl1 0.151 0.651 0.500 1
Tl2 0.349 0.151 0.500 1
Tl3 0.651 0.849 0.500 1
Tl4 0.849 0.349 0.500 1
Au1 0.000 0.000 0.500 1
Au2 0.500 0.500 0.500 1


Most stable: #two